# AlReIr | Alexandria via LeMat-Bulk | PBE-GGA | optimized geometry
data_AlReIr
_cell_length_a 2.781
_cell_length_b 2.781
_cell_length_c 11.297
_cell_angle_alpha 90.00
_cell_angle_beta 90.00
_cell_angle_gamma 90.00
_symmetry_space_group_name_H-M 'I 4 m m'
_symmetry_Int_Tables_number 107
_symmetry_space_group_name_Hall 'I 4 -2'
loop_
_atom_site_label
_atom_site_fract_x
_atom_site_fract_y
_atom_site_fract_z
Al1 0.000 0.000 0.000
Re1 0.000 0.000 0.674
Ir1 0.000 0.000 0.334
# * distance to the lowest polymorph of the same formula: 0 meV/atom
# * energy of formation from the pure elements: -33.4 kJ/mol of atoms

=====

# Al2ReIr2 | Alexandria via LeMat-Bulk | PBE-GGA | optimized geometry
data_Al2ReIr2
_cell_length_a 7.175
_cell_length_b 7.175
_cell_length_c 2.788
_cell_angle_alpha 90.00
_cell_angle_beta 90.00
_cell_angle_gamma 90.00
_symmetry_space_group_name_H-M 'P 4/m b m'
_symmetry_Int_Tables_number 127
_symmetry_space_group_name_Hall '-P 4 2ab'
loop_
_atom_site_label
_atom_site_fract_x
_atom_site_fract_y
_atom_site_fract_z
Al1 0.133 0.367 0.000
Re1 0.000 0.000 0.000
Ir1 0.167 0.667 0.500
# * energy of formation from the pure elements: -35.0 kJ/mol of atoms

=====

# AlReIr | Alexandria via LeMat-Bulk | PBE-GGA | optimized geometry
data_AlReIr
_cell_length_a 2.779
_cell_length_b 3.831
_cell_length_c 8.153
_cell_angle_alpha 90.00
_cell_angle_beta 90.00
_cell_angle_gamma 90.00
_symmetry_space_group_name_H-M 'I m m 2'
_symmetry_Int_Tables_number 44
loop_
_symmetry_equiv_pos_as_xyz
'x,y,z'
'-x,-y,z'
'-x,y,z'
'x,-y,z'
'x+1/2,y+1/2,z+1/2'
'-x+1/2,-y+1/2,z+1/2'
'-x+1/2,y+1/2,z+1/2'
'x+1/2,-y+1/2,z+1/2'
loop_
_atom_site_label
_atom_site_fract_x
_atom_site_fract_y
_atom_site_fract_z
Al1 0.000 0.000 0.000
Re1 0.000 0.000 0.333
Ir1 0.000 0.000 0.663
# * distance to the lowest polymorph of the same formula: 121 meV/atom
# * energy of formation from the pure elements: -21.7 kJ/mol of atoms

=====

# Al2ReIr | Alexandria via LeMat-Bulk | PBE-GGA | optimized geometry
data_Al2ReIr
_cell_length_a 6.912
_cell_length_b 6.912
_cell_length_c 5.344
_cell_angle_alpha 90.00
_cell_angle_beta 90.00
_cell_angle_gamma 90.00
_symmetry_space_group_name_H-M 'I -4 2 d'
_symmetry_Int_Tables_number 122
_symmetry_space_group_name_Hall 'I -4 2bw'
loop_
_atom_site_label
_atom_site_fract_x
_atom_site_fract_y
_atom_site_fract_z
Al1 0.231 0.250 0.125
Re1 0.000 0.000 0.500
Ir1 0.000 0.000 0.000
# * energy of formation from the pure elements: 30.5 kJ/mol of atoms

=====

# Al8ReIr2 | Alexandria via LeMat-Bulk | PBE-GGA | optimized geometry
data_Al8ReIr2
_cell_length_a 4.152
_cell_length_b 7.417
_cell_length_c 10.815
_cell_angle_alpha 90.00
_cell_angle_beta 90.00
_cell_angle_gamma 90.00
_symmetry_space_group_name_H-M 'I m m m'
_symmetry_Int_Tables_number 71
_symmetry_space_group_name_Hall '-I 2 2'
loop_
_atom_site_label
_atom_site_fract_x
_atom_site_fract_y
_atom_site_fract_z
Al1 0.000 0.000 0.140
Al2 0.000 0.217 0.341
Al3 0.000 0.314 0.000
Re1 0.000 0.500 0.500
Ir1 0.000 0.500 0.202
# * energy of formation from the pure elements: -54.1 kJ/mol of atoms

=====

# AlRe2SbIr | Alexandria via LeMat-Bulk | PBE-GGA | optimized geometry
data_AlRe2SbIr
_cell_length_a 4.800
_cell_length_b 4.800
_cell_length_c 4.958
_cell_angle_alpha 90.00
_cell_angle_beta 90.00
_cell_angle_gamma 90.00
_symmetry_space_group_name_H-M 'P 4/m m m'
_symmetry_Int_Tables_number 123
_symmetry_space_group_name_Hall '-P 4 2'
loop_
_atom_site_label
_atom_site_fract_x
_atom_site_fract_y
_atom_site_fract_z
Al1 0.000 0.000 0.000
Re1 0.000 0.500 0.500
Sb1 0.500 0.500 0.000
Ir1 0.500 0.500 0.500
# * total DFT energy (no corrections): -32.55 eV/cell

=====

# AlReSiIr | Alexandria via LeMat-Bulk | PBE-GGA | optimized geometry
data_AlReSiIr
_cell_length_a 6.000
_cell_length_b 6.000
_cell_length_c 6.000
_cell_angle_alpha 90.00
_cell_angle_beta 90.00
_cell_angle_gamma 90.00
_symmetry_space_group_name_H-M 'F -4 3 m'
_symmetry_Int_Tables_number 216
_symmetry_space_group_name_Hall 'F -4 2 3'
loop_
_atom_site_label
_atom_site_fract_x
_atom_site_fract_y
_atom_site_fract_z
Al1 0.000 0.000 0.000
Re1 0.250 0.250 0.750
Si1 0.000 0.000 0.500
Ir1 0.250 0.250 0.250
# * total DFT energy (no corrections): -128.72 eV/cell

=====

# AlReSn2Ir | Alexandria via LeMat-Bulk | PBE-GGA | optimized geometry
data_AlReSn2Ir
_cell_length_a 5.076
_cell_length_b 5.076
_cell_length_c 4.468
_cell_angle_alpha 90.00
_cell_angle_beta 90.00
_cell_angle_gamma 90.00
_symmetry_space_group_name_H-M 'P 4/m m m'
_symmetry_Int_Tables_number 123
_symmetry_space_group_name_Hall '-P 4 2'
loop_
_atom_site_label
_atom_site_fract_x
_atom_site_fract_y
_atom_site_fract_z
Al1 0.000 0.000 0.000
Re1 0.500 0.500 0.500
Sn1 0.000 0.500 0.000
Ir1 0.000 0.000 0.500
# * energy of formation from the pure elements: 143.9 kJ/mol of atoms

=====

# AlRe2SnIr | Alexandria via LeMat-Bulk | PBE-GGA | optimized geometry
data_AlRe2SnIr
_cell_length_a 4.802
_cell_length_b 4.802
_cell_length_c 4.680
_cell_angle_alpha 90.00
_cell_angle_beta 90.00
_cell_angle_gamma 90.00
_symmetry_space_group_name_H-M 'P 4/m m m'
_symmetry_Int_Tables_number 123
_symmetry_space_group_name_Hall '-P 4 2'
loop_
_atom_site_label
_atom_site_fract_x
_atom_site_fract_y
_atom_site_fract_z
Al1 0.000 0.000 0.000
Re1 0.000 0.500 0.500
Sn1 0.000 0.000 0.500
Ir1 0.500 0.500 0.000
# * energy of formation from the pure elements: 255.2 kJ/mol of atoms

=====

# TaAlRe2Ir | Alexandria via LeMat-Bulk | PBE-GGA | optimized geometry
data_TaAlRe2Ir
_cell_length_a 4.729
_cell_length_b 4.729
_cell_length_c 4.775
_cell_angle_alpha 90.00
_cell_angle_beta 90.00
_cell_angle_gamma 90.00
_symmetry_space_group_name_H-M 'P 4/m m m'
_symmetry_Int_Tables_number 123
_symmetry_space_group_name_Hall '-P 4 2'
loop_
_atom_site_label
_atom_site_fract_x
_atom_site_fract_y
_atom_site_fract_z
Ta1 0.000 0.000 0.000
Al1 0.500 0.500 0.000
Re1 0.000 0.500 0.500
Ir1 0.000 0.000 0.500
# * energy of formation from the pure elements: 163.8 kJ/mol of atoms

=====

# Al2TlReIr | Alexandria via LeMat-Bulk | PBE-GGA | optimized geometry
data_Al2TlReIr
_cell_length_a 4.699
_cell_length_b 4.699
_cell_length_c 5.226
_cell_angle_alpha 90.00
_cell_angle_beta 90.00
_cell_angle_gamma 90.00
_symmetry_space_group_name_H-M 'P 4/m m m'
_symmetry_Int_Tables_number 123
_symmetry_space_group_name_Hall '-P 4 2'
loop_
_atom_site_label
_atom_site_fract_x
_atom_site_fract_y
_atom_site_fract_z
Al1 0.000 0.500 0.000
Tl1 0.000 0.000 0.500
Re1 0.500 0.500 0.500
Ir1 0.000 0.000 0.000
# * distance to the lowest polymorph of the same formula: 375 meV/atom
# * energy of formation from the pure elements: 97.9 kJ/mol of atoms

=====

# Al2TlReIr | Alexandria via LeMat-Bulk | PBE-GGA | optimized geometry
data_Al2TlReIr
_cell_length_a 4.904
_cell_length_b 4.904
_cell_length_c 4.759
_cell_angle_alpha 90.00
_cell_angle_beta 90.00
_cell_angle_gamma 90.00
_symmetry_space_group_name_H-M 'P 4/m m m'
_symmetry_Int_Tables_number 123
_symmetry_space_group_name_Hall '-P 4 2'
loop_
_atom_site_label
_atom_site_fract_x
_atom_site_fract_y
_atom_site_fract_z
Al1 0.000 0.500 0.000
Tl1 0.000 0.000 0.500
Re1 0.500 0.500 0.000
Ir1 0.500 0.500 0.500
# * distance to the lowest polymorph of the same formula: 0 meV/atom
# * energy of formation from the pure elements: 61.6 kJ/mol of atoms

=====

# AlV2ReIr | Alexandria via LeMat-Bulk | PBE-GGA | optimized geometry
data_AlV2ReIr
_cell_length_a 4.344
_cell_length_b 4.344
_cell_length_c 4.300
_cell_angle_alpha 90.00
_cell_angle_beta 90.00
_cell_angle_gamma 90.00
_symmetry_space_group_name_H-M 'P 4/m m m'
_symmetry_Int_Tables_number 123
_symmetry_space_group_name_Hall '-P 4 2'
loop_
_atom_site_label
_atom_site_fract_x
_atom_site_fract_y
_atom_site_fract_z
Al1 0.000 0.000 0.000
V1 0.000 0.500 0.000
Re1 0.500 0.500 0.500
Ir1 0.000 0.000 0.500
# * energy of formation from the pure elements: 125.5 kJ/mol of atoms

=====

# AlVReIr | Alexandria via LeMat-Bulk | PBE-GGA | optimized geometry
data_AlVReIr
_cell_length_a 6.071
_cell_length_b 6.071
_cell_length_c 6.071
_cell_angle_alpha 90.00
_cell_angle_beta 90.00
_cell_angle_gamma 90.00
_symmetry_space_group_name_H-M 'F -4 3 m'
_symmetry_Int_Tables_number 216
_symmetry_space_group_name_Hall 'F -4 2 3'
loop_
_atom_site_label
_atom_site_fract_x
_atom_site_fract_y
_atom_site_fract_z
Al1 0.000 0.000 0.000
V1 0.000 0.000 0.500
Re1 0.250 0.250 0.750
Ir1 0.250 0.250 0.250
# * energy of formation from the pure elements: -49.8 kJ/mol of atoms

=====

# AlIrRh2 | Alexandria via LeMat-Bulk | PBE-GGA | optimized geometry
data_AlIrRh2
_cell_length_a 5.510
_cell_length_b 7.412
_cell_length_c 2.773
_cell_angle_alpha 90.00
_cell_angle_beta 90.00
_cell_angle_gamma 90.00
_symmetry_space_group_name_H-M 'C m m m'
_symmetry_Int_Tables_number 65
_symmetry_space_group_name_Hall '-C 2 2'
loop_
_atom_site_label
_atom_site_fract_x
_atom_site_fract_y
_atom_site_fract_z
Al1 0.000 0.000 0.000
Ir1 0.000 0.500 0.000
Rh1 0.250 0.250 0.500
# * energy of formation from the pure elements: -44.3 kJ/mol of atoms